# As3HPd | Alexandria via LeMat-Bulk | PBE | relaxed
# Space-group type ... Pm-3m (221)
# Distance to the lowest polymorph of the same formula ... 0.6047 eV/atom
# Raw total energy ... -3.436 eV/atom
data_As3HPd
_space_group_name_H-M_alt 'P 1'
_space_group_IT_number 1
_cell_length_a 4.913
_cell_length_b 4.913
_cell_length_c 4.913
_cell_angle_alpha 90.00
_cell_angle_beta 90.00
_cell_angle_gamma 90.00
loop_
_space_group_symop_operation_xyz
'x,y,z'
loop_
_atom_site_label
_atom_site_type_symbol
_atom_site_fract_x
_atom_site_fract_y
_atom_site_fract_z
H1 H 0.500 0.500 0.500
As1 As 0.000 0.500 0.000
As2 As 0.500 0.000 0.000
Pd1 Pd 0.000 0.000 0.000
As3 As 0.000 0.000 0.500

=====

# Pa3Se3N | Alexandria via LeMat-Bulk | PBE | relaxed
# E_form (uncorrected) ... -1.2755 eV per atom
# Space-group type ... C2/m (12)
# Raw total energy ... -8.028 eV/atom
data_Pa3Se3N
_space_group_name_H-M_alt 'P 1'
_space_group_IT_number 1
_cell_length_a 7.090
_cell_length_b 7.090
_cell_length_c 6.879
_cell_angle_alpha 95.28
_cell_angle_beta 95.28
_cell_angle_gamma 110.38
loop_
_space_group_symop_operation_xyz
'x,y,z'
loop_
_atom_site_label
_atom_site_type_symbol
_atom_site_fract_x
_atom_site_fract_y
_atom_site_fract_z
Se1 Se 0.837 0.163 0.500
Pa1 Pa 0.144 0.453 0.295
Se2 Se 0.600 0.600 0.338
Se3 Se 0.163 0.837 0.500
Se4 Se 0.762 0.238 0.000
N1 N 0.195 0.195 0.134
Pa2 Pa 0.453 0.144 0.295
Pa3 Pa 0.904 0.904 0.191
Se5 Se 0.400 0.400 0.662
Pa4 Pa 0.856 0.547 0.705
Pa5 Pa 0.547 0.856 0.705
Pa6 Pa 0.096 0.096 0.809
N2 N 0.805 0.805 0.866
Se6 Se 0.238 0.762 0.000

=====

# SrMn2B | Alexandria via LeMat-Bulk | PBE | relaxed
# Space-group type ... I4_1/amd (141)
# Raw total energy ... -6.128 eV/atom
data_SrMn2B
_space_group_name_H-M_alt 'P 1'
_space_group_IT_number 1
_cell_length_a 6.295
_cell_length_b 6.295
_cell_length_c 6.304
_cell_angle_alpha 60.05
_cell_angle_beta 60.05
_cell_angle_gamma 90.00
loop_
_space_group_symop_operation_xyz
'x,y,z'
loop_
_atom_site_label
_atom_site_type_symbol
_atom_site_fract_x
_atom_site_fract_y
_atom_site_fract_z
B1 B 0.250 0.750 0.500
B2 B 0.500 0.500 0.000
Mn1 Mn 0.375 0.125 0.250
Sr1 Sr 0.000 0.000 0.000
Mn2 Mn 0.875 0.625 0.750
Sr2 Sr 0.750 0.250 0.500
Mn3 Mn 0.375 0.625 0.750
Mn4 Mn 0.375 0.625 0.250

=====

# Ce4US5 | Alexandria via LeMat-Bulk | PBE | relaxed
# E_form (uncorrected) ... -1.8945 eV per atom
# Space-group type ... I4/m (87)
# Raw total energy ... -7.461 eV/atom
data_Ce4US5
_space_group_name_H-M_alt 'P 1'
_space_group_IT_number 1
_cell_length_a 5.635
_cell_length_b 6.908
_cell_length_c 6.908
_cell_angle_alpha 80.42
_cell_angle_beta 65.93
_cell_angle_gamma 65.93
loop_
_space_group_symop_operation_xyz
'x,y,z'
loop_
_atom_site_label
_atom_site_type_symbol
_atom_site_fract_x
_atom_site_fract_y
_atom_site_fract_z
Ce1 Ce 0.801 0.798 0.602
S1 S 0.706 0.196 0.394
S2 S 0.902 0.394 0.804
U1 U 0.001 0.000 0.000
S3 S 0.501 0.000 0.000
Ce2 Ce 0.599 0.602 0.202
S4 S 0.100 0.606 0.196
Ce3 Ce 0.403 0.398 0.798
S5 S 0.296 0.804 0.606
Ce4 Ce 0.201 0.202 0.398

=====

# Ni3IrRh | Alexandria via LeMat-Bulk | PBE | relaxed
# Space-group type ... Pnma (62)
# Distance to the lowest polymorph of the same formula ... 0.0190 eV/atom
# Raw total energy ... -6.663 eV/atom
data_Ni3IrRh
_space_group_name_H-M_alt 'P 1'
_space_group_IT_number 1
_cell_length_a 4.187
_cell_length_b 4.605
_cell_length_c 15.468
_cell_angle_alpha 90.00
_cell_angle_beta 122.79
_cell_angle_gamma 90.00
loop_
_space_group_symop_operation_xyz
'x,y,z'
loop_
_atom_site_label
_atom_site_type_symbol
_atom_site_fract_x
_atom_site_fract_y
_atom_site_fract_z
Ni1 Ni 0.251 0.658 0.500
Ni2 Ni 0.647 0.674 0.699
Ir1 Ir 0.350 0.846 0.800
Ni3 Ni 0.249 0.158 0.000
Ni4 Ni 0.046 0.681 0.898
Ni5 Ni 0.454 0.181 0.602
Ni6 Ni 0.954 0.319 0.102
Ni7 Ni 0.749 0.342 0.500
Ni8 Ni 0.751 0.842 0.000
Ni9 Ni 0.353 0.326 0.301
Ni10 Ni 0.147 0.826 0.199
Ir2 Ir 0.850 0.654 0.300
Rh1 Rh 0.063 0.155 0.406
Ir3 Ir 0.650 0.154 0.200
Ir4 Ir 0.150 0.346 0.700
Rh2 Rh 0.937 0.845 0.594
Ni11 Ni 0.853 0.174 0.801
Rh3 Rh 0.563 0.345 0.906
Ni12 Ni 0.546 0.819 0.398
Rh4 Rh 0.437 0.655 0.094

=====

# Ac2AgSnSe6 | Alexandria via LeMat-Bulk | PBE | relaxed
# E_form (uncorrected) ... -1.0946 eV per atom
# Space-group type ... P2_1/c (14)
# Raw total energy ... -4.692 eV/atom
data_Ac2AgSnSe6
_space_group_name_H-M_alt 'P 1'
_space_group_IT_number 1
_cell_length_a 6.927
_cell_length_b 8.139
_cell_length_c 9.953
_cell_angle_alpha 90.00
_cell_angle_beta 88.87
_cell_angle_gamma 90.00
loop_
_space_group_symop_operation_xyz
'x,y,z'
loop_
_atom_site_label
_atom_site_type_symbol
_atom_site_fract_x
_atom_site_fract_y
_atom_site_fract_z
Ac1 Ac 0.552 0.614 0.748
Se1 Se 0.867 0.534 0.256
Se2 Se 0.827 0.817 0.950
Se3 Se 0.367 0.966 0.756
Ac2 Ac 0.948 0.114 0.752
Se4 Se 0.133 0.466 0.744
Se5 Se 0.173 0.183 0.050
Se6 Se 0.824 0.833 0.550
Se7 Se 0.633 0.034 0.244
Sn1 Sn 0.000 0.500 0.000
Se8 Se 0.176 0.167 0.450
Ag1 Ag 0.500 0.000 0.000
Ag2 Ag 0.000 0.500 0.500
Ac3 Ac 0.052 0.886 0.248
Se9 Se 0.324 0.667 0.050
Se10 Se 0.327 0.683 0.450
Sn2 Sn 0.500 0.000 0.500
Se11 Se 0.673 0.317 0.550
Ac4 Ac 0.448 0.386 0.252
Se12 Se 0.676 0.333 0.950